Sm2CrPbO6 GGA+U optimized geometry; calculated volume = 157.6 Å³ per cell; calculated total energy = -7.202 eV/atom
1.0
5.465 0.000 0.000
0.000 5.465 0.000
0.000 0.000 5.277
Sm Cr Pb O
2 1 1 6
direct
0.000 0.500 0.000 Sm
0.500 0.000 0.000 Sm
0.000 0.000 0.626 Cr
0.500 0.500 0.555 Pb
0.000 0.000 0.260 O
0.237 0.237 0.755 O
0.237 0.763 0.755 O
0.500 0.500 0.133 O
0.763 0.237 0.755 O
0.763 0.763 0.755 O